A relaxed CdIrPtO2 crystal. Source: Alexandria, functional PBE.

The calculation puts the total DFT energy (no corrections) at -5.18 eV per atom. The raw formation energy is -0.035 eV/atom. As for the crystal system: tetragonal. The energy relative to the lowest polymorph listed for this composition is 0.0 meV/atom.

It has space group P4/mmm (No. 123), with a = 3.733 Å, b = 3.733 Å, c = 7.012 Å, α = 90.00°, β = 90.00° and γ = 90.00°. The distinct sites, in fractional coordinates, are Cd at (0.000, 0.000, 0.000), Ir at (0.000, 0.000, 0.500), Pt at (0.500, 0.500, 0.000) and O at (0.000, 0.500, 0.500).